Arrangement P

Computed, not measured: a relaxed ErPaTl crystal at the PBE-GGA level of DFT.

Lattice parameters (Å, degrees): 6.2160 5.2598 7.1538 75.12 64.25 53.78
Site moments in Bohr magnetons follow the coordinates.
Positions (direct):
Er 0.2500 0.5000 0.5000  0.00
Er 0.7500 0.5000 0.5000  0.00
Pa 0.8482 0.3036 0.0000  0.39
Pa 0.1518 0.6964 0.0000  0.39
Tl 0.3848 0.0000 0.2305  0.00
Tl 0.6152 0.0000 0.7695  0.00

V: 28.326 Å³ per atom
SG: Fmmm, No. 69

---

Arrangement Q

Computed, not measured: a relaxed ErPaTl crystal at the PBE-GGA level of DFT.

Lattice parameters (Å, degrees): 3.2717 3.2717 7.8511 102.03 102.03 90.00
Positions (direct):
Pa 0.0007 0.0007 0.0013
Tl 0.6680 0.6680 0.3360
Er 0.3313 0.3313 0.6627

V: 26.770 Å³ per atom
SG: I4mm, No. 107

---

Preferred: arrangement Q; penalty for the next structure: 0.177 eV/atom.

---

Arrangement P

Computed, not measured: a relaxed ErTmPa crystal at the PBE-GGA level of DFT.

Lattice parameters (Å, degrees): 3.3978 3.3978 8.4337 90.00 90.00 120.00
Positions (direct):
Pa 0.0000 0.0000 0.9996
Tm 0.3333 0.6667 0.6786
Er 0.6667 0.3333 0.3218

V: 28.108 Å³ per atom
SG: P3m1, No. 156

---

Arrangement Q

Computed, not measured: a relaxed ErTmPa crystal at the PBE-GGA level of DFT.

Lattice parameters (Å, degrees): 3.3834 3.3834 7.8068 102.52 102.52 90.00
Positions (direct):
Er 0.9918 0.9918 0.9835
Tm 0.6752 0.6752 0.3503
Pa 0.3331 0.3331 0.6662

V: 28.356 Å³ per atom
SG: I4mm, No. 107

---

Preferred: arrangement P; penalty for the next structure: 0.037 eV/atom.

---

Arrangement P

Computed, not measured: a relaxed YErPa crystal at the PBE-GGA level of DFT.

Lattice parameters (Å, degrees): 3.4217 3.4217 8.5090 90.00 90.00 120.00
Positions (direct):
Y 0.3333 0.6667 0.6786
Er 0.6667 0.3333 0.3196
Pa 0.0000 0.0000 0.0018

V: 28.758 Å³ per atom
SG: P3m1, No. 156

---

Arrangement Q

Computed, not measured: a relaxed YErPa crystal at the PBE-GGA level of DFT.

Lattice parameters (Å, degrees): 5.0321 3.3556 10.3448 80.67 90.00 90.00
Positions (direct):
Y 0.2500 0.4518 0.0964
Y 0.7500 0.5482 0.9036
Pa 0.7500 0.7109 0.5783
Pa 0.2500 0.2891 0.4217
Er 0.7500 0.8720 0.2560
Er 0.2500 0.1280 0.7440

V: 28.727 Å³ per atom
SG: Cmcm, No. 63

---

Arrangement R

Computed, not measured: a relaxed YErPa crystal at the PBE-GGA level of DFT.

Lattice parameters (Å, degrees): 3.4001 3.4001 7.9088 102.41 102.41 90.00
Site moments in Bohr magnetons follow the coordinates.
Positions (direct):
Y 0.6079 0.6079 0.2159  0.00
Pa 0.9488 0.9488 0.8976  0.12
Er 0.2933 0.2933 0.5866  0.00

V: 29.035 Å³ per atom
SG: I4mm, No. 107

---

Preferred: arrangement P; penalty for the next structure: 0.032 eV/atom.

---

Arrangement P

Computed, not measured: a relaxed ErPaZn crystal at the PBE-GGA level of DFT.

Lattice parameters (Å, degrees): 3.2702 5.1693 8.4875 90.00 101.11 90.00
Positions (direct):
Zn 0.4248 0.2500 0.8496
Zn 0.5752 0.7500 0.1504
Pa 0.2332 0.7500 0.4665
Pa 0.7668 0.2500 0.5335
Er 0.0783 0.2500 0.1565
Er 0.9217 0.7500 0.8435

V: 23.465 Å³ per atom
SG: Cmcm, No. 63

---

Arrangement Q

Computed, not measured: a relaxed ErPaZn crystal at the PBE-GGA level of DFT.

Lattice parameters (Å, degrees): 3.2108 3.2108 7.1904 102.90 102.90 90.00
Site moments in Bohr magnetons follow the coordinates.
Positions (direct):
Zn 0.6647 0.6647 0.3293  0.00
Er 0.0143 0.0143 0.0286  0.03
Pa 0.3210 0.3210 0.6420  0.37

V: 23.445 Å³ per atom
SG: I4mm, No. 107

---

Preferred: arrangement P; penalty for the next structure: 0.123 eV/atom.

---

Arrangement P

Computed, not measured: a relaxed ErPaZn4 crystal at the PBE-GGA level of DFT.

Lattice parameters (Å, degrees): 5.4278 5.4278 5.4278 60.00 60.00 60.00
Positions (direct):
Zn 0.6251 0.6251 0.6251
Zn 0.6251 0.6251 0.1246
Zn 0.6251 0.1246 0.6251
Zn 0.1246 0.6251 0.6251
Pa 0.2500 0.2500 0.2500
Er 0.0000 0.0000 0.0000

V: 18.845 Å³ per atom
SG: F-43m, No. 216

---

Arrangement Q

Computed, not measured: a relaxed ErPaZn4 crystal at the PBE-GGA level of DFT.

Lattice parameters (Å, degrees): 3.2807 4.5315 7.8450 90.00 90.00 90.00
Site moments in Bohr magnetons follow the coordinates.
Positions (direct):
Zn 0.4986 0.9973 0.8286  0.00
Zn 0.4987 0.4973 0.6623  0.00
Zn 0.4986 0.9973 0.1677  0.00
Zn 0.4986 0.4973 0.3340  0.00
Er 0.9986 0.9973 0.4981  0.04
Pa 0.9985 0.4973 0.9981  0.19

V: 19.438 Å³ per atom
SG: Pmmm, No. 47

---

Preferred: arrangement Q; penalty for the next structure: 0.058 eV/atom.

---

Arrangement P

Computed, not measured: a relaxed ErZrPa2 crystal at the PBE-GGA level of DFT.

Lattice parameters (Å, degrees): 5.0495 4.4959 4.4959 90.00 90.00 90.00
Positions (direct):
Er 0.5000 0.0000 0.0000
Pa 0.0000 0.5000 0.0000
Pa 0.0000 0.0000 0.5000
Zr 0.5000 0.5000 0.5000

V: 25.517 Å³ per atom
SG: P4/mmm, No. 123

---

Arrangement Q

Computed, not measured: a relaxed ErZrPa2 crystal at the PBE-GGA level of DFT.

Lattice parameters (Å, degrees): 5.2728 5.2728 5.2758 60.02 60.02 60.00
Positions (direct):
Er 0.0000 0.0000 0.0000
Pa 0.7502 0.7502 0.7495
Pa 0.2498 0.2498 0.2505
Zr 0.5000 0.5000 0.5000

V: 25.937 Å³ per atom
SG: Fm-3m, No. 225

---

Preferred: arrangement P; penalty for the next structure: 0.215 eV/atom.

---

Arrangement P

Computed, not measured: a relaxed ErZrPa2 crystal at the PBE-GGA level of DFT.

Lattice parameters (Å, degrees): 3.2489 3.2489 11.3545 81.77 81.77 60.00
Positions (direct):
Pa 0.2521 0.2521 0.2436
Pa 0.0810 0.0810 0.7570
Er 0.5005 0.5005 0.4985
Zr 0.6664 0.6664 0.0009

V: 25.593 Å³ per atom
SG: R3m, No. 160

---

Arrangement Q

Computed, not measured: a relaxed ErZrPa2 crystal at the PBE-GGA level of DFT.

Lattice parameters (Å, degrees): 3.1660 3.1660 10.2228 90.00 90.00 90.00
Positions (direct):
Zr 0.5000 0.5000 0.0000
Pa 0.0000 0.0000 0.7598
Pa 0.0000 0.0000 0.2402
Er 0.5000 0.5000 0.5000

V: 25.617 Å³ per atom
SG: P4/mmm, No. 123

---

Preferred: arrangement P; penalty for the next structure: 0.049 eV/atom.

---

Arrangement P

Computed, not measured: a relaxed Er2ZrPa crystal at the PBE-GGA level of DFT.

Lattice parameters (Å, degrees): 3.2567 3.2567 11.8301 82.09 82.09 60.00
Positions (direct):
Er 0.0907 0.0907 0.7278
Er 0.9093 0.9093 0.2722
Pa 0.0000 0.0000 0.0000
Zr 0.5000 0.5000 0.5000

V: 26.819 Å³ per atom
SG: R-3m, No. 166

---

Arrangement Q

Computed, not measured: a relaxed Er2ZrPa crystal at the PBE-GGA level of DFT.

Lattice parameters (Å, degrees): 3.3120 3.3120 11.3390 81.60 81.60 60.00
Positions (direct):
Pa 0.5003 0.5003 0.4990
Er 0.0811 0.0811 0.7566
Er 0.2520 0.2520 0.2440
Zr 0.6665 0.6665 0.0004

V: 26.543 Å³ per atom
SG: R3m, No. 160

---

Preferred: arrangement Q; penalty for the next structure: 0.109 eV/atom.